Density functional theory data (GGA-PBE) for a geometry-optimized HoThH2 structure.

Values from the calculation:
ΔE to the lowest computed polymorph ... 0 meV/atom
Final energy ... -0.1833 Ha/atom
Magnetization ... 0.00 μB/f.u.
D(E_F) ... 8.2 states/eV/cell

Cell: 3.5568 3.5568 17.5841 Å, 90.00 90.00 120.00°
Space group R-3m (No. 166, hexagonal axes)
One atom of each set of equivalent atoms:
Ho 0.0000 0.0000 0.0000 x3
Th 0.0000 0.0000 0.5000 x3
H 0.0000 0.0000 0.2516 x6


Density functional theory data (GGA-PBE) for a geometry-optimized PPb2Se structure.

Values from the calculation:
ΔE to the lowest computed polymorph ... 243 meV/atom
Final energy ... -0.1460 Ha/atom
Magnetization ... 0.00 μB/f.u.
D(E_F) ... 14.6 states/eV/cell
E_form (uncorrected) ... 0.42 eV per formula unit

Cell: 7.385 7.385 7.385 Å, 90.00 90.00 90.00°
Space group Fm-3m (No. 225)
One atom of each set of equivalent atoms:
P 0.000 0.000 0.000 x4
Pb 0.250 0.250 0.250 x8
Se 0.000 0.000 0.500 x4


Density functional theory data (GGA-PBE) for a geometry-optimized Cd3In12Ag structure.

Values from the calculation:
Final energy ... -0.0873 Ha/atom
Formation energy from the elements ... 0.4 eV per formula unit
Magnetization ... 0.00 μB/f.u.
D(E_F) ... 4.2 states/eV/cell

Cell: 4.696 4.696 18.570 Å, 90.00 90.00 90.00°
Space group P4/mmm (No. 123)
One atom of each set of equivalent atoms:
Cd 0.000 0.000 0.000 x1
Cd 0.000 0.000 0.253 x2
In 0.000 0.500 0.127 x4
In 0.000 0.500 0.382 x4
In 0.500 0.500 0.000 x1
In 0.500 0.500 0.255 x2
In 0.500 0.500 0.500 x1
Ag 0.000 0.000 0.500 x1


Density functional theory data (GGA-PBE) for a geometry-optimized CdNiOsRh2 structure.

Values from the calculation:
Final energy ... -0.1848 Ha/atom
Formation energy from the elements ... 7.5 eV per formula unit
Magnetization ... 0.65 μB/f.u.
D(E_F) ... 6.4 states/eV/cell

Cell: 4.663 4.663 5.134 Å, 90.00 90.00 90.00°
Space group P4/mmm (No. 123)
One atom of each set of equivalent atoms:
Cd 0.000 0.000 0.000 x1
Ni 0.500 0.500 0.000 x1
Os 0.000 0.000 0.500 x1
Rh 0.000 0.500 0.500 x2


Density functional theory data (GGA-PBE) for a geometry-optimized DyCrS3 structure.

Values from the calculation:
Final energy ... -0.2429 Ha/atom
Magnetization ... 3.00 μB/f.u.
E_form (uncorrected) ... -6.44 eV per formula unit

Cell: 7.680 5.939 8.606 Å, 90.00 97.41 90.00°
Space group P2_1/c (No. 14)
One atom of each set of equivalent atoms:
Dy 0.148 0.239 0.174 x4
Cr 0.409 0.746 0.576 x4
S 0.093 0.708 0.111 x4
S 0.315 0.084 0.941 x4
S 0.416 0.560 0.826 x4


Density functional theory data (GGA-PBE) for a geometry-optimized Rb2Pt2Pb3 structure.

Values from the calculation:
Final energy ... -0.1401 Ha/atom
Formation energy from the elements ... -1.5 eV per formula unit
Magnetization ... 0.00 μB/f.u.
D(E_F) ... 5.8 states/eV/cell

Cell: 13.266 4.561 8.939 Å, 90.00 125.63 90.00°
Space group C2/m (No. 12)
One atom of each set of equivalent atoms:
Rb 0.146 0.000 0.277 x4
Pt 0.113 0.000 0.716 x4
Pb 0.000 0.500 0.500 x2
Pb 0.143 0.500 0.950 x4


Density functional theory data (GGA-PBE) for a geometry-optimized LaAl12Rh6 structure.

Values from the calculation:
Final energy ... -0.2097 Ha/atom
Formation energy from the elements ... -14.5 eV per formula unit
Magnetization ... 0.00 μB/f.u.
D(E_F) ... 16.6 states/eV/cell

Cell: 11.4228 11.4228 8.5313 Å, 90.00 90.00 120.00°
Space group R-3m (No. 166, hexagonal axes)
One atom of each set of equivalent atoms:
La 0.0000 0.0000 0.0000 x3
Al 0.0000 0.3801 0.5000 x18
Al 0.0914 0.1828 0.3234 x18
Rh 0.0560 0.5280 0.2594 x18


Density functional theory data (GGA-PBE) for a geometry-optimized Eu2TeO structure.

Values from the calculation:
ΔE to the lowest computed polymorph ... 467 meV/atom
Final energy ... -0.3194 Ha/atom
Magnetization ... 14.02 μB/f.u.
D(E_F) ... 1.0 states/eV/cell
E_form (uncorrected) ... -6.11 eV per formula unit

Cell: 3.549 3.549 7.304 Å, 90.00 90.00 90.00°
Space group P4/mmm (No. 123)
One atom of each set of equivalent atoms:
Eu 0.000 0.000 0.210 x2
Te 0.500 0.500 0.500 x1
O 0.500 0.500 0.000 x1


Density functional theory data (GGA-PBE) for a geometry-optimized MgPOF2 structure.

Values from the calculation:
ΔE to the lowest computed polymorph ... 0 meV/atom
Final energy ... -0.1684 Ha/atom
Magnetization ... 0.96 μB/f.u.
D(E_F) ... 1.2 states/eV/cell
E_form (uncorrected) ... -7.21 eV per formula unit

Cell: 3.695 3.695 4.438 Å, 90.00 90.00 90.00°
Space group P4/mmm (No. 123)
One atom of each set of equivalent atoms:
Mg 0.000 0.000 0.000 x1
P 0.500 0.500 0.500 x1
O 0.000 0.000 0.500 x1
F 0.000 0.500 0.000 x2


Density functional theory data (GGA-PBE) for a geometry-optimized CoReBr2 structure.

Values from the calculation:
ΔE to the lowest computed polymorph ... 1275 meV/atom
Final energy ... -0.1522 Ha/atom
Magnetization ... 1.95 μB/f.u.
D(E_F) ... 6.2 states/eV/cell
E_form (uncorrected) ... 6.33 eV per formula unit

Cell: 6.651 6.651 6.651 Å, 90.00 90.00 90.00°
Space group F-43m (No. 216)
One atom of each set of equivalent atoms:
Co 0.000 0.000 0.000 x4
Re 0.250 0.250 0.250 x4
Br 0.000 0.000 0.500 x4
Br 0.250 0.250 0.750 x4


Density functional theory data (GGA-PBE) for a geometry-optimized CuTe2Br structure.

Values from the calculation:
Final energy ... -0.1037 Ha/atom
Magnetization ... 0.00 μB/f.u.
D(E_F) ... 7.6 states/eV/cell
E_form (uncorrected) ... 0.77 eV per formula unit

Cell: 5.733 5.733 15.692 Å, 90.00 90.00 90.00°
Space group I-42d (No. 122)
One atom of each set of equivalent atoms:
Cu 0.000 0.000 0.000 x4
Te 0.134 0.250 0.125 x8
Br 0.000 0.000 0.500 x4


Density functional theory data (GGA-PBE) for a geometry-optimized RbIn2Pt2 structure.

Values from the calculation:
ΔE to the lowest computed polymorph ... 46 meV/atom
Final energy ... -0.1481 Ha/atom
Formation energy from the elements ... -1.6 eV per formula unit
Magnetization ... 0.00 μB/f.u.
D(E_F) ... 6.8 states/eV/cell

Cell: 4.246 13.631 8.626 Å, 90.00 90.00 90.00°
Space group Cmc2_1 (No. 36)
One atom of each set of equivalent atoms:
Rb 0.000 0.088 0.000 x4
In 0.000 0.193 0.616 x4
In 0.000 0.395 0.850 x4
Pt 0.000 0.236 0.306 x4
Pt 0.000 0.426 0.189 x4


Density functional theory data (GGA-PBE) for a geometry-optimized BaH2O2 structure.

Values from the calculation:
Final energy ... -0.2015 Ha/atom
Magnetization ... 0.03 μB/f.u.
D(E_F) ... 0.0 states/eV/cell

Cell: 7.050 7.948 9.363 Å, 89.81 83.41 89.26°
Space group P1 (No. 1)
One atom of each set of equivalent atoms:
Ba 0.000 0.000 0.000 x1
Ba 0.007 0.407 0.285 x1
Ba 0.025 0.906 0.580 x1
Ba 0.089 0.516 0.857 x1
Ba 0.509 0.606 0.505 x1
Ba 0.520 0.193 0.778 x1
Ba 0.540 0.656 0.084 x1
Ba 0.574 0.089 0.355 x1
H 0.022 0.703 0.157 x1
H 0.091 0.008 0.297 x1
H 0.152 0.461 0.558 x1
H 0.156 0.236 0.626 x1
H 0.243 0.794 0.279 x1
H 0.325 0.290 0.094 x1
H 0.342 0.352 0.380 x1
H 0.348 0.795 0.804 x1
H 0.475 0.069 0.061 x1
H 0.509 0.900 0.656 x1
H 0.605 0.589 0.798 x1
H 0.711 0.275 0.059 x1
H 0.734 0.809 0.791 x1
H 0.824 0.313 0.581 x1
H 0.846 0.811 0.297 x1
H 0.873 0.258 0.851 x1
O 0.111 0.580 0.561 x1
O 0.148 0.691 0.098 x1
O 0.256 0.250 0.016 x1
O 0.276 0.249 0.562 x1
O 0.285 0.899 0.776 x1
O 0.313 0.853 0.348 x1
O 0.399 0.396 0.286 x1
O 0.472 0.551 0.802 x1
O 0.607 0.029 0.060 x1
O 0.637 0.910 0.600 x1
O 0.733 0.332 0.511 x1
O 0.791 0.701 0.279 x1
O 0.799 0.369 0.037 x1
O 0.819 0.748 0.850 x1
O 0.923 0.198 0.762 x1
O 0.958 0.046 0.299 x1


Density functional theory data (GGA-PBE) for a geometry-optimized Nb2Te6Mo structure.

Values from the calculation:
ΔE to the lowest computed polymorph ... 0 meV/atom
Final energy ... -0.2173 Ha/atom
Magnetization ... 0.00 μB/f.u.
D(E_F) ... 6.1 states/eV/cell
E_form (uncorrected) ... -3.39 eV per formula unit

Cell: 18.107 3.644 8.304 Å, 90.00 113.22 90.00°
Space group C2/m (No. 12)
One atom of each set of equivalent atoms:
Nb 0.143 0.000 0.272 x4
Te 0.008 0.000 0.750 x4
Te 0.165 0.500 0.047 x4
Te 0.180 0.500 0.557 x4
Mo 0.000 0.500 0.000 x2


Density functional theory data (GGA-PBE) for a geometry-optimized Mg3CuRe structure.

Values from the calculation:
ΔE to the lowest computed polymorph ... 266 meV/atom
Final energy ... -0.1105 Ha/atom
Formation energy from the elements ... 6.3 eV per formula unit
Magnetization ... 0.61 μB/f.u.
D(E_F) ... 5.8 states/eV/cell

Cell: 5.050 5.050 5.050 Å, 90.00 90.00 90.00°
Space group Pm-3m (No. 221)
One atom of each set of equivalent atoms:
Mg 0.000 0.000 0.500 x3
Cu 0.500 0.500 0.500 x1
Re 0.000 0.000 0.000 x1


Density functional theory data (GGA-PBE) for a geometry-optimized GaBiPb4 structure.

Values from the calculation:
Final energy ... -0.1301 Ha/atom
Formation energy from the elements ... 0.5 eV per formula unit
Magnetization ... 0.00 μB/f.u.
D(E_F) ... 6.0 states/eV/cell

Cell: 6.224 6.561 9.463 Å, 90.00 107.54 90.00°
Space group P2_1/m (No. 11)
One atom of each set of equivalent atoms:
Ga 0.176 0.250 0.104 x2
Bi 0.010 0.750 0.469 x2
Pb 0.258 0.505 0.843 x4
Pb 0.258 0.750 0.188 x2
Pb 0.445 0.250 0.427 x2


Density functional theory data (GGA-PBE) for a geometry-optimized CaMnFe4 structure.

Values from the calculation:
Final energy ... -0.2644 Ha/atom
Formation energy from the elements ... 1.9 eV per formula unit
Magnetization ... 10.94 μB/f.u.
D(E_F) ... 26.4 states/eV/cell

Cell: 6.977 6.977 6.977 Å, 90.00 90.00 90.00°
Space group F-43m (No. 216)
One atom of each set of equivalent atoms:
Ca 0.000 0.000 0.000 x4
Mn 0.250 0.250 0.250 x4
Fe 0.124 0.124 0.624 x16


Density functional theory data (GGA-PBE) for a geometry-optimized SrMgMo2 structure.

Values from the calculation:
Final energy ... -0.1958 Ha/atom
Formation energy from the elements ... 3.6 eV per formula unit
Magnetization ... 0.00 μB/f.u.
D(E_F) ... 6.5 states/eV/cell

Cell: 10.949 2.822 5.402 Å, 90.00 102.72 90.00°
Space group C2/m (No. 12)
One atom of each set of equivalent atoms:
Sr 0.000 0.000 0.000 x2
Mg 0.000 0.500 0.500 x2
Mo 0.232 0.000 0.727 x4


Density functional theory data (GGA-PBE) for a geometry-optimized LiY2Rh structure.

Values from the calculation:
Final energy ... -0.2082 Ha/atom
Formation energy from the elements ... -0.5 eV per formula unit
Magnetization ... 0.00 μB/f.u.
D(E_F) ... 12.5 states/eV/cell

Cell: 6.891 6.891 6.891 Å, 90.00 90.00 90.00°
Space group F-43m (No. 216)
One atom of each set of equivalent atoms:
Li 0.000 0.000 0.000 x4
Y 0.000 0.000 0.500 x4
Y 0.250 0.250 0.750 x4
Rh 0.250 0.250 0.250 x4


Density functional theory data (GGA-PBE) for a geometry-optimized CaAl2Te structure.

Values from the calculation:
Final energy ... -0.1259 Ha/atom
Magnetization ... 0.00 μB/f.u.
D(E_F) ... 1.8 states/eV/cell
E_form (uncorrected) ... -1.07 eV per formula unit

Cell: 4.353 4.353 5.136 Å, 90.00 90.00 90.00°
Space group P4/mmm (No. 123)
One atom of each set of equivalent atoms:
Ca 0.000 0.000 0.000 x1
Al 0.000 0.500 0.500 x2
Te 0.500 0.500 0.000 x1